# K2TcMoN4 PBE optimized geometry
# total DFT energy (no corrections) = -117.57 eV per cell
# formation energy from raw total energies = -0.261 eV/atom
# magnetization = 0.00 μB per cell
data_K2TcMoN4
_chemical_formula_sum 'K4 Tc2 Mo2 N8'
_symmetry_space_group_name_H-M 'P m m n'
_symmetry_Int_Tables_number 59
_cell_length_a 6.132
_cell_length_b 6.675
_cell_length_c 6.839
_cell_angle_alpha 90.00
_cell_angle_beta 90.00
_cell_angle_gamma 90.00
loop_
_symmetry_equiv_pos_as_xyz
'x,y,z'
'-x,-y,-z'
'-x+1/2,-y+1/2,z'
'x+1/2,y+1/2,-z'
'x+1/2,-y,-z'
'-x+1/2,y,z'
'-x,y+1/2,-z'
'x,-y+1/2,z'
loop_
_atom_site_label
_atom_site_type_symbol
_atom_site_fract_x
_atom_site_fract_y
_atom_site_fract_z
K1 K 0.250 0.001 0.207
Tc1 Tc 0.250 0.250 0.662
Mo1 Mo 0.250 0.750 0.655
N1 N 0.006 0.250 0.497
N2 N 0.250 0.001 0.800

# LuPuMnCr PBE optimized geometry
# total DFT energy (no corrections) = -147.16 eV per cell
# DFT formation energy = 214 meV/atom
# magnetization = 1.01 μB per cell
data_LuPuMnCr
_chemical_formula_sum 'Lu4 Pu4 Mn4 Cr4'
_symmetry_space_group_name_H-M 'F -4 3 m'
_symmetry_Int_Tables_number 216
_symmetry_space_group_name_Hall 'F -4 2 3'
_cell_length_a 6.758
_cell_length_b 6.758
_cell_length_c 6.758
_cell_angle_alpha 90.00
_cell_angle_beta 90.00
_cell_angle_gamma 90.00
loop_
_atom_site_label
_atom_site_type_symbol
_atom_site_fract_x
_atom_site_fract_y
_atom_site_fract_z
Lu1 Lu 0.000 0.000 0.000
Pu1 Pu 0.000 0.000 0.500
Mn1 Mn 0.250 0.250 0.750
Cr1 Cr 0.250 0.250 0.250

# Dy4B2Br5 PBE optimized geometry
# total DFT energy (no corrections) = -107.29 eV per cell
# formation energy from raw total energies = -1.229 eV/atom
# magnetization = 0.00 μB per cell
data_Dy4B2Br5
_chemical_formula_sum 'Dy8 B4 Br10'
_symmetry_space_group_name_H-M 'I m m m'
_symmetry_Int_Tables_number 71
_symmetry_space_group_name_Hall '-I 2 2'
_cell_length_a 3.871
_cell_length_b 7.975
_cell_length_c 20.135
_cell_angle_alpha 90.00
_cell_angle_beta 90.00
_cell_angle_gamma 90.00
loop_
_atom_site_label
_atom_site_type_symbol
_atom_site_fract_x
_atom_site_fract_y
_atom_site_fract_z
Dy1 Dy 0.000 0.000 0.153
Dy2 Dy 0.000 0.299 0.500
B1 B 0.000 0.000 0.039
Br1 Br 0.000 0.239 0.338
Br2 Br 0.000 0.500 0.000

# TaAlCd2 PBE optimized geometry
# total DFT energy (no corrections) = -16.65 eV per cell
# DFT formation energy = 195 meV/atom
# magnetization = 0.00 μB per cell
data_TaAlCd2
_chemical_formula_sum 'Ta1 Al1 Cd2'
_symmetry_space_group_name_H-M 'P m m 2'
_symmetry_Int_Tables_number 25
_cell_length_a 2.985
_cell_length_b 4.087
_cell_length_c 6.322
_cell_angle_alpha 90.00
_cell_angle_beta 90.00
_cell_angle_gamma 90.00
loop_
_symmetry_equiv_pos_as_xyz
'x,y,z'
'-x,-y,z'
'-x,y,z'
'x,-y,z'
loop_
_atom_site_label
_atom_site_type_symbol
_atom_site_fract_x
_atom_site_fract_y
_atom_site_fract_z
Ta1 Ta 0.000 0.000 0.000
Al1 Al 0.500 0.500 0.194
Cd1 Cd 0.000 0.000 0.478
Cd2 Cd 0.500 0.500 0.733

# ZnHgRu2 PBE optimized geometry
# total DFT energy (no corrections) = -36.99 eV per cell
# DFT formation energy = 408 meV/atom
# polymorph energy (0 for the lowest one) = 265.9 meV/atom
# magnetization = 0.00 μB per cell
data_ZnHgRu2
_chemical_formula_sum 'Zn2 Hg2 Ru4'
_symmetry_space_group_name_H-M 'I m m 2'
_symmetry_Int_Tables_number 44
_cell_length_a 2.960
_cell_length_b 4.643
_cell_length_c 9.213
_cell_angle_alpha 90.00
_cell_angle_beta 90.00
_cell_angle_gamma 90.00
loop_
_symmetry_equiv_pos_as_xyz
'x,y,z'
'-x,-y,z'
'-x,y,z'
'x,-y,z'
'x+1/2,y+1/2,z+1/2'
'-x+1/2,-y+1/2,z+1/2'
'-x+1/2,y+1/2,z+1/2'
'x+1/2,-y+1/2,z+1/2'
loop_
_atom_site_label
_atom_site_type_symbol
_atom_site_fract_x
_atom_site_fract_y
_atom_site_fract_z
Zn1 Zn 0.000 0.000 0.000
Hg1 Hg 0.000 0.500 0.759
Ru1 Ru 0.000 0.000 0.528
Ru2 Ru 0.000 0.500 0.259

# Y4Ho2Tm3 PBE optimized geometry
# total DFT energy (no corrections) = -190.10 eV per cell
# DFT formation energy = 100 meV/atom
# magnetization = 0.00 μB per cell
data_Y4Ho2Tm3
_chemical_formula_sum 'Y16 Ho8 Tm12'
_symmetry_space_group_name_H-M 'C 1 2/c 1'
_symmetry_Int_Tables_number 15
_cell_length_a 16.029
_cell_length_b 11.531
_cell_length_c 6.125
_cell_angle_alpha 90.00
_cell_angle_beta 95.63
_cell_angle_gamma 90.00
loop_
_symmetry_equiv_pos_as_xyz
'x,y,z'
'-x,-y,-z'
'-x,y,-z+1/2'
'x,-y,z+1/2'
'x+1/2,y+1/2,z'
'-x+1/2,-y+1/2,-z'
'-x+1/2,y+1/2,-z+1/2'
'x+1/2,-y+1/2,z+1/2'
loop_
_atom_site_label
_atom_site_type_symbol
_atom_site_fract_x
_atom_site_fract_y
_atom_site_fract_z
Y1 Y 0.046 0.144 0.013
Y2 Y 0.212 0.359 0.847
Ho1 Ho 0.120 0.356 0.322
Tm1 Tm 0.000 0.406 0.750
Tm2 Tm 0.167 0.097 0.583

# SrCuPt2 PBE optimized geometry
# total DFT energy (no corrections) = -36.87 eV per cell
# DFT formation energy = -143 meV/atom
# magnetization = 0.00 μB per cell
data_SrCuPt2
_chemical_formula_sum 'Sr2 Cu2 Pt4'
_symmetry_space_group_name_H-M 'C m m m'
_symmetry_Int_Tables_number 65
_symmetry_space_group_name_Hall '-C 2 2'
_cell_length_a 5.915
_cell_length_b 8.051
_cell_length_c 3.122
_cell_angle_alpha 90.00
_cell_angle_beta 90.00
_cell_angle_gamma 90.00
loop_
_atom_site_label
_atom_site_type_symbol
_atom_site_fract_x
_atom_site_fract_y
_atom_site_fract_z
Sr1 Sr 0.000 0.000 0.000
Cu1 Cu 0.000 0.500 0.000
Pt1 Pt 0.250 0.250 0.500

# LiPtC2 PBE optimized geometry
# total DFT energy (no corrections) = -87.76 eV per cell
# DFT formation energy = 1115 meV/atom
# magnetization = 0.00 μB per cell
data_LiPtC2
_chemical_formula_sum 'Li4 Pt4 C8'
_symmetry_space_group_name_H-M 'I -4 2 d'
_symmetry_Int_Tables_number 122
_symmetry_space_group_name_Hall 'I -4 2bw'
_cell_length_a 4.972
_cell_length_b 4.972
_cell_length_c 9.144
_cell_angle_alpha 90.00
_cell_angle_beta 90.00
_cell_angle_gamma 90.00
loop_
_atom_site_label
_atom_site_type_symbol
_atom_site_fract_x
_atom_site_fract_y
_atom_site_fract_z
Li1 Li 0.000 0.000 0.000
Pt1 Pt 0.000 0.000 0.500
C1 C 0.195 0.250 0.625

Which formula does entry 5 have?
ZnHgRu2

Which value of total DFT energy (no corrections) does entry 7 give?
-36.87 eV per cell